# 1
This record from OQMD via LeMat-Bulk describes a relaxed ZrZnInSe3 crystal. The functional is GGA-PBE.

## Properties
- Total moment: 0.05 μB per formula unit

The structure in POSCAR format:
```
ZrZnInSe3
1.0
-0.133 0.975 7.678
-2.845 1.333 -7.075
-6.207 -8.256 0.941
In Se Zn Zr
2 6 2 2
Cartesian
-3.713 -0.821 -3.119
-5.473 -5.126 4.664
-0.806 0.590 5.827
-2.850 -0.935 1.578
-3.262 -2.676 6.199
-5.923 -3.272 -4.655
-6.336 -5.013 -0.033
-8.379 -6.538 -4.283
-1.789 -1.075 7.348
-7.397 -4.873 -5.804
-1.489 1.154 0.302
-4.593 -2.974 0.772
```

# 2
This record from OQMD via LeMat-Bulk describes a relaxed LuIn crystal. The functional is GGA-PBE.

## Properties
- Total moment: 0.05 μB per formula unit

The structure in POSCAR format:
```
LuIn
1.0
0.000 3.427 3.427
3.427 0.000 3.427
3.427 3.427 0.000
In Lu
1 1
Cartesian
0.000 0.000 0.000
1.714 1.714 1.714
```

# 3
This record from OQMD via LeMat-Bulk describes a relaxed Nd2S crystal. The functional is GGA-PBE.

## Properties
- Total moment: 0.02 μB per formula unit

The structure in POSCAR format:
```
Nd2S
1.0
3.779 -3.298 -3.687
2.457 -5.343 2.042
-1.925 -5.421 -2.380
Nd S
4 2
Cartesian
3.657 -6.079 -1.326
1.466 -6.118 -3.536
0.805 -7.140 -0.672
2.694 -8.789 -2.515
0.000 0.000 0.000
1.078 -3.516 -1.006
```

# 4
This record from OQMD via LeMat-Bulk describes a relaxed Ba2CdAsP crystal. The functional is GGA-PBE.

## Properties
- Energy relative to the lowest polymorph listed for this composition: 0 meV/atom

The structure in POSCAR format:
```
Ba2CdAsP
1.0
2.284 -8.652 0.000
2.284 8.652 0.000
0.000 0.000 8.177
As Ba Cd P
2 4 2 2
Cartesian
2.284 7.582 3.523
2.284 -7.582 7.611
2.284 0.705 1.913
2.284 -3.591 3.140
2.284 -0.705 6.002
2.284 3.591 7.228
2.284 6.979 0.664
2.284 -6.979 4.752
2.284 -2.958 0.033
2.284 2.958 4.121
```

| no. | E (eV per formula unit) |
| --- | --- |
| 1 | -27.6 |
| 2 | -5.7 |
| 3 | -13.5 |
| 4 | -19.4 |